Material: PuGaOsRh
Method: DFT, GGA-PBE
State: optimized geometry

a b c (Å): 4.577 4.577 4.577
angles (deg): 60.00 60.00 60.00
Site moments in Bohr magnetons follow the coordinates.
Atoms (fractional coordinates):
Pu 0.500 0.500 0.500  4.59
Os 0.750 0.750 0.750  -0.48
Rh 0.250 0.250 0.250  -0.24
Ga 0.000 0.000 0.000  0.01

Results
theoretical density: 14.87 g/cm3

Material: PuGaOsRu
Method: DFT, GGA-PBE
State: optimized geometry

a b c (Å): 4.551 4.551 4.551
angles (deg): 60.00 60.00 60.00
Site moments in Bohr magnetons follow the coordinates.
Atoms (fractional coordinates):
Pu 0.000 0.000 0.000  4.48
Os 0.750 0.750 0.750  -0.48
Ru 0.250 0.250 0.250  -0.47
Ga 0.500 0.500 0.500  0.00

Results
theoretical density: 15.07 g/cm3

Material: PuGaSiOs
Method: DFT, GGA-PBE
State: optimized geometry

a b c (Å): 4.238 4.238 5.482
angles (deg): 67.26 67.26 60.00
Site moments in Bohr magnetons follow the coordinates.
Atoms (fractional coordinates):
Os 0.618 0.618 0.145  -0.21
Pu 0.816 0.816 0.553  5.05
Ga 0.027 0.027 0.920  0.02
Si 0.265 0.265 0.205  0.00

Results
uncorrected formation energy: -0.256 eV per atom
theoretical density: 11.58 g/cm3

Material: SmPuGaOs
Method: DFT, GGA-PBE
State: optimized geometry

a b c (Å): 4.970 4.970 4.970
angles (deg): 60.00 60.00 60.00
Site moments in Bohr magnetons follow the coordinates.
Atoms (fractional coordinates):
Sm 0.000 0.000 0.000  0.04
Ga 0.250 0.250 0.250  0.00
Pu 0.500 0.500 0.500  5.07
Os 0.750 0.750 0.750  -0.42

Results
theoretical density: 12.52 g/cm3

Material: TbPuGaOs
Method: DFT, GGA-PBE
State: optimized geometry

a b c (Å): 4.927 4.927 4.927
angles (deg): 60.00 60.00 60.00
Site moments in Bohr magnetons follow the coordinates.
Atoms (fractional coordinates):
Pu 0.250 0.250 0.250  5.03
Ga 0.500 0.500 0.500  -0.01
Tb 0.750 0.750 0.750  0.04
Os 0.000 0.000 0.000  -0.39

Results
theoretical density: 13.02 g/cm3

Material: PuThGaOs
Method: DFT, GGA-PBE
State: optimized geometry

a b c (Å): 5.020 5.020 5.020
angles (deg): 60.00 60.00 60.00
Site moments in Bohr magnetons follow the coordinates.
Atoms (fractional coordinates):
Th 0.000 0.000 0.000  0.11
Pu 0.500 0.500 0.500  5.19
Os 0.250 0.250 0.250  -0.33
Ga 0.750 0.750 0.750  -0.01

Results
theoretical density: 13.66 g/cm3

Material: PuZrGaOs
Method: DFT, GGA-PBE
State: optimized geometry

a b c (Å): 4.810 4.810 4.810
angles (deg): 60.00 60.00 60.00
Site moments in Bohr magnetons follow the coordinates.
Atoms (fractional coordinates):
Pu 0.000 0.000 0.000  5.07
Zr 0.500 0.500 0.500  0.19
Ga 0.750 0.750 0.750  0.00
Os 0.250 0.250 0.250  -0.28

Results
theoretical density: 12.56 g/cm3

Material: RbGa3Os
Method: DFT, GGA-PBE
State: optimized geometry

a b c (Å): 9.589 9.589 9.589
angles (deg): 60.00 60.00 60.00
Atoms (fractional coordinates):
Ga 0.341 0.341 0.659
Os 0.625 0.625 0.625
Rb 0.125 0.625 0.125
Ga 0.591 0.909 0.909
Ga 0.341 0.659 0.341
Ga 0.659 0.341 0.341
Ga 0.909 0.591 0.909
Ga 0.909 0.909 0.591
Ga 0.909 0.591 0.591
Os 0.625 0.625 0.125
Ga 0.341 0.659 0.659
Os 0.125 0.625 0.625
Ga 0.659 0.659 0.341
Rb 0.625 0.125 0.125
Ga 0.591 0.909 0.591
Rb 0.125 0.125 0.625
Os 0.625 0.125 0.625
Ga 0.659 0.341 0.659
Rb 0.125 0.125 0.125
Ga 0.591 0.591 0.909

Results
distance to the lowest polymorph of the same formula: 0.143 eV/atom
theoretical density: 5.17 g/cm3

Material: RbGa3Os
Method: DFT, GGA-PBE
State: optimized geometry

a b c (Å): 17.073 7.066 7.066
angles (deg): 138.84 146.35 33.65
Atoms (fractional coordinates):
Rb 0.388 0.949 0.051
Ga 0.921 0.429 0.571
Ga 0.153 0.797 0.203
Ga 0.630 0.296 0.704
Ga 0.079 0.571 0.429
Rb 0.612 0.051 0.949
Ga 0.370 0.704 0.296
Os 0.937 0.910 0.090
Os 0.063 0.090 0.910
Ga 0.847 0.203 0.797

Results
distance to the lowest polymorph of the same formula: 0.337 eV/atom
theoretical density: 6.27 g/cm3

Material: RbGa3Os
Method: DFT, GGA-PBE
State: optimized geometry

a b c (Å): 6.779 6.639 7.357
angles (deg): 84.73 116.61 61.96
Atoms (fractional coordinates):
Ga 0.185 0.140 0.205
Os 0.966 0.612 0.038
Ga 0.701 0.485 0.099
Os 0.632 0.824 0.259
Ga 0.896 0.952 0.197
Ga 0.798 0.718 0.648
Rb 0.119 0.077 0.663
Rb 0.475 0.360 0.633
Ga 0.299 0.718 0.149
Ga 0.413 0.296 0.092

Results
distance to the lowest polymorph of the same formula: 0.202 eV/atom
theoretical density: 6.67 g/cm3

Material: Rb2Ga2Os
Method: DFT, GGA-PBE
State: optimized geometry

a b c (Å): 6.920 6.920 6.310
angles (deg): 90.00 90.00 90.00
Atoms (fractional coordinates):
Rb 0.174 0.674 0.500
Rb 0.326 0.174 0.500
Ga 0.776 0.724 0.000
Ga 0.224 0.276 0.000
Rb 0.674 0.826 0.500
Os 0.000 0.000 0.000
Ga 0.724 0.224 0.000
Os 0.500 0.500 0.000
Ga 0.276 0.776 0.000
Rb 0.826 0.326 0.500

Results
distance to the lowest polymorph of the same formula: 0.000 eV/atom
theoretical density: 5.50 g/cm3

Material: RbGa3Os
Method: DFT, GGA-PBE
State: optimized geometry

a b c (Å): 6.681 7.682 6.557
angles (deg): 70.65 59.37 64.20
Atoms (fractional coordinates):
Ga 0.119 0.991 0.155
Os 0.498 0.041 0.821
Ga 0.035 0.660 0.128
Ga 0.594 0.991 0.155
Ga 0.414 0.762 0.754
Rb 0.539 0.481 0.299
Ga 0.271 0.357 0.959
Rb 0.980 0.267 0.631
Os 0.757 0.893 0.452
Ga 0.929 0.762 0.754

Results
distance to the lowest polymorph of the same formula: 0.197 eV/atom
theoretical density: 6.24 g/cm3

Material: RbGa3Os
Method: DFT, GGA-PBE
State: optimized geometry

a b c (Å): 22.750 7.016 8.726
angles (deg): 90.00 158.32 90.00
Atoms (fractional coordinates):
Ga 0.742 0.443 0.247
Os 0.861 0.666 0.356
Ga 0.046 0.661 0.589
Ga 0.454 0.161 0.911
Rb 0.592 0.263 0.565
Ga 0.258 0.557 0.753
Ga 0.879 0.258 0.881
Rb 0.908 0.763 0.935
Ga 0.379 0.242 0.381
Os 0.139 0.334 0.644
Ga 0.546 0.839 0.089
Ga 0.758 0.943 0.253
Rb 0.092 0.237 0.065
Ga 0.621 0.758 0.619
Rb 0.408 0.737 0.435
Os 0.639 0.166 0.144
Ga 0.954 0.339 0.411
Ga 0.121 0.742 0.119
Os 0.361 0.834 0.856
Ga 0.242 0.057 0.747

Results
distance to the lowest polymorph of the same formula: 0.322 eV/atom
theoretical density: 6.26 g/cm3

Material: RbGa3Os
Method: DFT, GGA-PBE
State: optimized geometry

a b c (Å): 4.803 4.803 12.966
angles (deg): 79.33 79.33 90.00
Atoms (fractional coordinates):
Rb 0.250 0.750 0.500
Rb 0.000 0.000 0.000
Ga 0.137 0.896 0.727
Os 0.797 0.297 0.406
Ga 0.104 0.863 0.273
Ga 0.671 0.671 0.658
Ga 0.137 0.377 0.727
Ga 0.623 0.863 0.273
Os 0.703 0.203 0.594
Ga 0.329 0.329 0.342

Results
distance to the lowest polymorph of the same formula: 0.651 eV/atom
theoretical density: 5.58 g/cm3

Material: RbGa3Os
Method: DFT, GGA-PBE
State: optimized geometry

a b c (Å): 4.779 4.779 10.165
angles (deg): 90.00 90.00 120.00
Atoms (fractional coordinates):
Rb 0.667 0.333 0.250
Os 0.000 0.000 0.000
Os 0.000 0.000 0.500
Ga 0.333 0.667 0.447
Ga 0.667 0.333 0.947
Ga 0.000 0.000 0.250
Rb 0.333 0.667 0.750
Ga 0.000 0.000 0.750
Ga 0.667 0.333 0.553
Ga 0.333 0.667 0.053

Results
distance to the lowest polymorph of the same formula: 0.554 eV/atom
theoretical density: 8.01 g/cm3

Material: RbGa3Os
Method: DFT, GGA-PBE
State: optimized geometry

a b c (Å): 18.928 9.078 9.078
angles (deg): 154.34 153.16 26.84
Atoms (fractional coordinates):
Ga 0.091 0.195 0.805
Os 0.379 0.967 0.033
Ga 0.610 0.633 0.367
Ga 0.599 0.474 0.526
Rb 0.163 0.930 0.070
Ga 0.401 0.526 0.474
Os 0.621 0.033 0.967
Ga 0.390 0.367 0.633
Ga 0.909 0.805 0.195
Rb 0.837 0.070 0.930

Results
distance to the lowest polymorph of the same formula: 0.399 eV/atom
theoretical density: 5.91 g/cm3

Material: RbGa3Os
Method: DFT, GGA-PBE
State: optimized geometry

a b c (Å): 11.291 11.291 5.231
angles (deg): 90.00 90.00 156.16
Atoms (fractional coordinates):
Os 0.516 0.484 0.750
Os 0.484 0.516 0.250
Ga 0.864 0.630 0.750
Ga 0.136 0.370 0.250
Rb 0.203 0.797 0.250
Ga 0.000 0.000 0.500
Ga 0.630 0.864 0.250
Ga 0.000 0.000 0.000
Rb 0.797 0.203 0.750
Ga 0.370 0.136 0.750

Results
distance to the lowest polymorph of the same formula: 0.454 eV/atom
theoretical density: 5.97 g/cm3

Material: RbGaOs2
Method: DFT, GGA-PBE
State: optimized geometry

a b c (Å): 4.780 4.780 9.647
angles (deg): 75.66 75.66 90.00
Atoms (fractional coordinates):
Rb 0.750 0.250 0.500
Ga 0.250 0.750 0.500
Os 0.422 0.625 0.250
Os 0.375 0.672 0.750
Os 0.875 0.578 0.750
Ga 0.500 0.500 0.000
Os 0.328 0.125 0.250
Rb 0.000 0.000 0.000

Results
theoretical density: 8.62 g/cm3

Material: Rb2Ga2Os
Method: DFT, GGA-PBE
State: optimized geometry

a b c (Å): 3.991 3.991 8.256
angles (deg): 76.01 76.01 90.00
Atoms (fractional coordinates):
Ga 0.579 0.579 0.843
Os 0.000 0.000 0.000
Ga 0.421 0.421 0.157
Rb 0.750 0.250 0.500
Rb 0.250 0.750 0.500

Results
distance to the lowest polymorph of the same formula: 0.942 eV/atom
theoretical density: 6.73 g/cm3

Material: RbGa3Os
Method: DFT, GGA-PBE
State: optimized geometry

a b c (Å): 6.643 5.380 7.250
angles (deg): 90.00 105.93 90.00
Atoms (fractional coordinates):
Ga 0.971 0.750 0.617
Ga 0.296 0.489 0.929
Os 0.014 0.250 0.043
Ga 0.029 0.250 0.383
Ga 0.704 0.989 0.071
Rb 0.358 0.750 0.384
Os 0.986 0.750 0.957
Ga 0.296 0.011 0.929
Rb 0.642 0.250 0.616
Ga 0.704 0.511 0.071

Results
distance to the lowest polymorph of the same formula: 0.372 eV/atom
theoretical density: 6.46 g/cm3

| no. | calculated volume (Å³ per cell) | total magnetic moment (μB per cell) | E (eV per formula unit) |
| --- | --- | --- | --- |
| 1 | 67.8 | 4.0 | -36.951 |
| 2 | 66.7 | 3.6 | -38.494 |
| 3 | 76.3 | 5.2 | -35.034 |
| 4 | 86.8 | 4.9 | -33.824 |
| 5 | 84.6 | 4.9 | -33.956 |
| 6 | 89.4 | 5.3 | -36.639 |
| 7 | 78.7 | 5.3 | -37.788 |
| 8 | 623.4 | 0.0 | -21.629 |
| 9 | 256.7 | 0.0 | -20.657 |
| 10 | 241.4 | 0.0 | -21.333 |
| 11 | 302.2 | 0.0 | -17.468 |
| 12 | 258.0 | 0.0 | -21.361 |
| 13 | 514.6 | 0.0 | -20.735 |
| 14 | 288.7 | 0.0 | -19.088 |
| 15 | 201.0 | 0.0 | -19.574 |
| 16 | 272.3 | 0.0 | -20.347 |
| 17 | 269.5 | 0.0 | -20.073 |
| 18 | 206.5 | 0.1 | -21.994 |
| 19 | 123.6 | 0.0 | -12.756 |
| 20 | 249.2 | 0.0 | -20.486 |